Material: TaPd3Cl
Method: DFT, PBE
State: optimized geometry

As for the total magnetic moment: 1.9 μB/cell. Its final energy is -4.939 eV/atom. As for the space group: Pm-3m (221). The calculation puts the distance to the lowest polymorph of the same formula at 59 meV/atom. For the energy relative to the elements, uncorrected, the calculation gives 4.58 eV per formula unit.

Cell lengths 4.5195, 4.5195, 4.5195 Å; angles 90.00, 90.00, 90.00 degrees
Closest atoms and distances in Å follow each position.
Element x y z (fractional)
Ta 0.0000 0.0000 0.0000  12 Pd 3.20
Pd 0.0000 0.5000 0.5000  2 Cl 2.26
Pd 0.5000 0.0000 0.5000  2 Cl 2.26
Pd 0.5000 0.5000 0.0000  2 Cl 2.26
Cl 0.5000 0.5000 0.5000  6 Pd 2.26



Material: Ta2PdCl
Method: DFT, PBE
State: optimized geometry

As for the total magnetic moment: 0.0 μB/cell. Its final energy is -6.793 eV/atom. As for the space group: I-42d (122). The calculation puts the distance to the lowest polymorph of the same formula at 606 meV/atom. For the energy relative to the elements, uncorrected, the calculation gives 3.57 eV per formula unit.

Cell lengths 6.8776, 6.8776, 6.8776 Å; angles 131.57, 131.57, 70.90 degrees
Closest atoms and distances in Å follow each position.
Element x y z (fractional)
Ta 0.1145 0.6250 0.9895  2 Cl 2.40, 2 Pd 2.47
Ta 0.3750 0.3645 0.4895  2 Cl 2.40, 2 Pd 2.47
Ta 0.6355 0.1250 0.0105  2 Cl 2.40, 2 Pd 2.47
Ta 0.8750 0.8855 0.5105  2 Cl 2.40, 2 Pd 2.47
Pd 0.2500 0.7500 0.5000  4 Ta 2.47
Pd 0.5000 0.5000 0.0000  4 Ta 2.47
Cl 0.0000 0.0000 0.0000  4 Ta 2.40
Cl 0.7500 0.2500 0.5000  4 Ta 2.40



Material: TaPdCl2
Method: DFT, PBE
State: optimized geometry

As for the total magnetic moment: 0.0 μB/cell. Its final energy is -5.473 eV/atom. As for the space group: R-3m (166). The calculation puts the distance to the lowest polymorph of the same formula at 0 meV/atom. For the energy relative to the elements, uncorrected, the calculation gives -1.15 eV per formula unit.

Cell lengths 8.6944, 8.6944, 8.6944 Å; angles 20.59, 20.59, 20.59 degrees
Closest atoms and distances in Å follow each position.
Element x y z (fractional)
Ta 0.0000 0.0000 0.0000  6 Cl 2.56
Pd 0.5000 0.5000 0.5000  2 Cl 2.43
Cl 0.4046 0.4046 0.4046  1 Pd 2.43, 3 Ta 2.56
Cl 0.5954 0.5954 0.5954  1 Pd 2.43, 3 Ta 2.56



Material: Ta2PdCl
Method: DFT, PBE
State: optimized geometry

As for the total magnetic moment: 0.0 μB/cell. Its final energy is -7.399 eV/atom. As for the space group: Fm-3m (225). The calculation puts the distance to the lowest polymorph of the same formula at 0 meV/atom. For the energy relative to the elements, uncorrected, the calculation gives 1.15 eV per formula unit.

Cell lengths 4.5477, 4.5477, 4.5477 Å; angles 60.00, 60.00, 60.00 degrees
Closest atoms and distances in Å follow each position.
Element x y z (fractional)
Ta 0.2500 0.2500 0.2500  4 Cl 2.78, 4 Pd 2.78
Ta 0.7500 0.7500 0.7500  4 Cl 2.78, 4 Pd 2.78
Pd 0.0000 0.0000 0.0000  8 Ta 2.78
Cl 0.5000 0.5000 0.5000  8 Ta 2.78